Entry 1:
7
Lattice="-0.9969 3.1632 -2.6903 -0.8048 -2.8615 -3.0663 -5.8012 -0.2972 1.8001" Properties=species:S:1:pos:R:3 comment="Zn5PdPt, relaxed, DFT GGA-PBE" sg="P4/mmm, No. 123" ef_ev_per_fu=-2.12 pbc="T T T"
Zn -1.7565 -1.5001 -1.1130
Zn -1.8525 1.5122 -0.9250
Zn -4.8495 -1.6586 -0.1532
Zn -4.9455 1.3538 0.0347
Zn -3.8014 0.0023 -1.9783
Pd -0.9008 0.1509 -2.8783
Pt -2.9006 -0.1486 0.9000

Entry 2:
6
Lattice="-3.7767 -2.7149 0.0086 3.1932 -0.4689 -3.3494 3.2798 -0.5655 3.2045" Properties=species:S:1:pos:R:3 comment="Ta2Be3Co, relaxed, DFT GGA-PBE" sg="R-3m, No. 166" ef_ev_per_fu=-1.41 pbc="T T T"
Be -0.2484 -1.6402 1.6065
Be 1.6399 -0.2827 1.6022
Be 1.3481 -1.8746 -0.0682
Ta -1.2278 -2.2775 -0.8536
Ta 3.9240 -1.4718 0.7172
Co 0.0000 0.0000 0.0000

Entry 3:
6
Lattice="-3.2293 1.3518 -1.1366 -3.6153 -0.3293 3.9206 1.6229 8.8661 -0.0260" Properties=species:S:1:pos:R:3 comment="GaAgSe, relaxed, DFT GGA-PBE" sg="C2/m, No. 12" raw_formation_energy_mev_per_atom=-199 pbc="T T T"
Se -3.4470 8.1429 1.5994
Se -1.7746 1.7457 1.1587
Ga -2.5585 6.0670 2.5656
Ga -2.6632 3.8216 0.1925
Ag -0.1744 5.1628 0.6762
Ag -5.0473 4.7258 2.0819

Entry 4:
6
Lattice="-4.2482 -2.9501 -0.9470 -0.9084 -1.8213 -4.8481 0.5364 -5.1292 -1.0249" Properties=species:S:1:pos:R:3 comment="HoNbZn4, relaxed, DFT GGA-PBE" sg="F-43m, No. 216" ef_ev_per_fu=-0.98 pbc="T T T"
Zn -3.1633 -3.6115 -3.7531
Zn -2.8927 -6.1989 -4.2700
Zn -2.4345 -5.2801 -1.8245
Zn -0.7498 -4.7108 -3.7923
Nb 0.0000 0.0000 0.0000
Ho -1.1550 -2.4752 -1.7050

Entry 5:
3
Lattice="-0.4057 1.8195 3.9228 -3.9448 0.8973 1.5802 -1.5901 -2.3144 3.3134" Properties=species:S:1:pos:R:3 comment="SiPtCl, relaxed, DFT GGA-PBE" sg="F-43m, No. 216" raw_formation_energy_mev_per_atom=156 pbc="T T T"
Si 0.0000 0.0000 0.0000
Cl -2.9703 0.2012 4.4082
Pt -4.4555 0.3018 6.6122

Entry 6:
4
Lattice="-1.4751 -4.2811 0.4715 2.0440 -1.1346 -3.9066 3.7031 -1.0296 2.2365" Properties=species:S:1:pos:R:3 comment="LaSi2Te, relaxed, DFT GGA-PBE" sg="P4/mmm, No. 123" raw_formation_energy_mev_per_atom=-267 pbc="T T T"
Te 1.1140 -2.6554 1.3540
Si 0.0000 0.0000 0.0000
Si 0.2845 -2.7078 -1.7176
La 2.8736 -1.0821 -0.8351

Entry 7:
10
Lattice="0.0395 3.9591 4.2944 -5.7517 3.0879 -2.7938 -1.9563 -8.3889 3.7795" Properties=species:S:1:pos:R:3 comment="LaPm2Tm2, relaxed, DFT GGA-PBE" sg="Imma, No. 74" ef_ev_per_fu=0.67 pbc="T T T"
La -6.3566 -0.9953 2.9623
La -1.3119 -0.3466 2.3178
Tm -3.5111 -2.5700 4.3879
Tm -2.4210 -3.4275 1.1959
Tm -4.1574 1.2281 0.8922
Tm -5.2475 2.0856 4.0841
Pm -2.0116 3.1731 3.0518
Pm -5.6569 -4.5150 2.2283
Pm -2.8349 -6.0300 3.5990
Pm -4.8335 4.6881 1.6810

Entry 8:
4
Lattice="-1.6490 0.1925 9.8820 -3.1817 -2.2178 9.2395 -0.3001 -2.4012 9.7239" Properties=species:S:1:pos:R:3 comment="BaCoTc2, relaxed, DFT GGA-PBE" sg="R-3m, No. 166" ef_ev_per_fu=4.58 pbc="T T T"
Tc -0.0946 -0.0816 0.5319
Tc -2.4708 -2.1316 13.8908
Co -3.8481 -3.3199 21.6340
Ba -1.2827 -1.1066 7.2113